The following is a PBE calculation of crystalline NdDyAg2Se4 at its relaxed geometry, from the Alexandria database.

The structure in POSCAR format:
```
NdDyAg2Se4
1.0
-3.826 0.612 -1.748
1.203 -5.106 -4.420
-2.292 -6.416 2.771
Nd Dy Ag Se
1 1 2 4
Direct
0.000 0.500 0.500
0.500 0.500 0.000
0.000 0.000 0.000
0.500 0.000 0.500
0.000 0.749 0.758
0.000 0.251 0.242
0.500 0.751 0.244
0.500 0.249 0.756
```

DOS at the Fermi energy in states/eV per cell: 0.00
V in Å³ per atom: 25.1
Formation energy from raw total energies in meV per atom: -1157